The following is a DFT calculation (PBE) of V4AsSe5 after structural relaxation.

a = 15.733 Å, b = 3.389 Å, c = 7.455 Å
α = 90.00°, β = 100.98°, γ = 90.00°
Space group C2/m (No. 12)
One atom of each set of equivalent atoms:
1 V 0.015 0.000 0.256 (multiplicity 4)
2 V 0.174 0.500 0.547 (multiplicity 4)
3 As 0.000 0.500 0.500 (multiplicity 2)
4 Se 0.000 0.500 0.000 (multiplicity 2)
5 Se 0.150 0.000 0.784 (multiplicity 4)
6 Se 0.177 0.000 0.297 (multiplicity 4)

Computed properties:
The uncorrected formation energy is -0.512 eV/atom. Its mass density is 5.731 Mg/m³. Its electronic total energy is -6.367 eV per atom.

***

The following is a DFT calculation (PBE) of VAsSe after structural relaxation.

a = 3.1327 Å, b = 3.1327 Å, c = 7.4883 Å
α = 90.00°, β = 90.00°, γ = 120.00°
Space group P3m1 (No. 156)
One atom of each set of equivalent atoms:
1 V 0.0000 0.0000 0.0000 (multiplicity 1)
2 As 0.3333 0.6667 0.7496 (multiplicity 1)
3 Se 0.6667 0.3333 0.2195 (multiplicity 1)

Computed properties:
The uncorrected formation energy is -0.394 eV/atom. Its mass density is 5.344 Mg/m³. Its electronic total energy is -6.145 eV per atom.

***

The following is a DFT calculation (PBE) of V3AsSe after structural relaxation.

a = 4.630 Å, b = 4.630 Å, c = 4.630 Å
α = 90.00°, β = 90.00°, γ = 90.00°
Space group Pm-3m (No. 221)
One atom of each set of equivalent atoms:
1 V 0.000 0.000 0.500 (multiplicity 3)
2 As 0.500 0.500 0.500 (multiplicity 1)
3 Se 0.000 0.000 0.000 (multiplicity 1)

Computed properties:
The uncorrected formation energy is 0.626 eV/atom. Its mass density is 5.131 Mg/m³. Its electronic total energy is -6.472 eV per atom.

***

The following is a DFT calculation (PBE) of VAs2WSe after structural relaxation.

a = 4.722 Å, b = 4.722 Å, c = 4.738 Å
α = 90.00°, β = 90.00°, γ = 90.00°
Space group P4/mmm (No. 123)
One atom of each set of equivalent atoms:
1 V 0.000 0.000 0.000 (multiplicity 1)
2 As 0.000 0.500 0.000 (multiplicity 2)
3 W 0.500 0.500 0.500 (multiplicity 1)
4 Se 0.000 0.000 0.500 (multiplicity 1)

Computed properties:
The uncorrected formation energy is 1.016 eV/atom. Its mass density is 7.288 Mg/m³. Its electronic total energy is -5.955 eV per atom.

***

The following is a DFT calculation (PBE) of VAs2WSe after structural relaxation.

a = 4.953 Å, b = 4.953 Å, c = 4.456 Å
α = 90.00°, β = 90.00°, γ = 90.00°
Space group P4/mmm (No. 123)
One atom of each set of equivalent atoms:
1 V 0.000 0.000 0.000 (multiplicity 1)
2 As 0.000 0.500 0.500 (multiplicity 2)
3 W 0.500 0.500 0.000 (multiplicity 1)
4 Se 0.000 0.000 0.500 (multiplicity 1)

Computed properties:
The uncorrected formation energy is 1.555 eV/atom. Its mass density is 7.041 Mg/m³. Its electronic total energy is -5.416 eV per atom.

***

The following is a DFT calculation (PBE) of VZnAs2Se after structural relaxation.

a = 4.712 Å, b = 4.712 Å, c = 4.964 Å
α = 90.00°, β = 90.00°, γ = 90.00°
Space group P4/mmm (No. 123)
One atom of each set of equivalent atoms:
1 V 0.000 0.000 0.000 (multiplicity 1)
2 Zn 0.500 0.500 0.500 (multiplicity 1)
3 As 0.000 0.500 0.500 (multiplicity 2)
4 Se 0.500 0.500 0.000 (multiplicity 1)

Computed properties:
The uncorrected formation energy is 1.007 eV/atom. Its mass density is 5.200 Mg/m³. Its electronic total energy is -3.628 eV per atom.

***

The following is a DFT calculation (PBE) of VZnAs2Se after structural relaxation.

a = 4.797 Å, b = 4.797 Å, c = 4.746 Å
α = 90.00°, β = 90.00°, γ = 90.00°
Space group P4/mmm (No. 123)
One atom of each set of equivalent atoms:
1 V 0.000 0.000 0.000 (multiplicity 1)
2 Zn 0.500 0.500 0.500 (multiplicity 1)
3 As 0.000 0.500 0.000 (multiplicity 2)
4 Se 0.000 0.000 0.500 (multiplicity 1)

Computed properties:
The uncorrected formation energy is 0.214 eV/atom. Its mass density is 5.248 Mg/m³. Its electronic total energy is -4.421 eV per atom.

***

The following is a DFT calculation (PBE) of ZrVAs2Se after structural relaxation.

a = 4.684 Å, b = 4.684 Å, c = 4.886 Å
α = 90.00°, β = 90.00°, γ = 90.00°
Space group P4/mmm (No. 123)
One atom of each set of equivalent atoms:
1 Zr 0.000 0.000 0.000 (multiplicity 1)
2 V 0.500 0.500 0.500 (multiplicity 1)
3 As 0.000 0.500 0.500 (multiplicity 2)
4 Se 0.500 0.500 0.000 (multiplicity 1)

Computed properties:
The uncorrected formation energy is 0.106 eV/atom. Its mass density is 5.747 Mg/m³. Its electronic total energy is -5.984 eV per atom.